Record 1
This record from Alexandria via LeMat-Bulk describes a relaxed structure of TaBe2As. The functional is PBE.

Calculated values
Spin magnetization = 0.000 μB per atom
Symmetry = Pmmm, No. 47
DFT formation energy = 0.075 eV/atom

Geometry as POSCAR:
```
TaBe2As
1.0
3.5915 0.0000 0.0000
0.0000 3.2404 0.0051
0.0000 -0.0066 4.6137
As Be Ta
1 2 1
Cartesian
1.7957 2.4253 3.4641
0.0000 2.4260 2.1486
0.0000 2.4313 0.1659
1.7957 0.8084 1.1547
```

---

Record 2
This record from Alexandria via LeMat-Bulk describes a relaxed structure of TaBe2As. The functional is PBE.

Calculated values
Spin magnetization = 0.000 μB per atom
Symmetry = I4/mmm, No. 139
DFT formation energy = 0.137 eV/atom

Geometry as POSCAR:
```
TaBe2As
1.0
4.8329 -0.0065 -0.0113
2.1636 4.3216 0.0113
-3.4928 -2.1663 2.5425
Be Ta As
2 1 1
Cartesian
3.4976 2.1571 0.0000
0.0007 0.0004 0.0000
1.0845 2.1564 1.2769
2.4192 -0.0076 1.2656
```

---

Record 3
This record from Alexandria via LeMat-Bulk describes a relaxed structure of Ta2BeAs. The functional is PBE.

Calculated values
Spin magnetization = 0.000 μB per atom
Symmetry = Cmm2, No. 35
DFT formation energy = 0.037 eV/atom
ΔE to the lowest computed polymorph = 381.6 meV/atom

Geometry as POSCAR:
```
Ta2BeAs
1.0
3.0500 0.0199 0.0000
-0.7050 2.9675 0.0000
0.0000 0.0000 6.7935
Ta As Be
2 1 1
Cartesian
0.0000 0.0000 6.4881
1.1725 1.4937 1.8892
0.0000 0.0000 3.6779
1.1725 1.4937 4.9284
```

---

VASP energy / eV per atom: -5.913; -5.851; -7.983